Entry from Alexandria: a geometry-optimized NdEr6Zn2 structure (GGA-PBE).

Geometry as POSCAR:
```
NdEr6Zn2
1.0
-1.809 -0.379 -3.095
-5.738 -2.497 1.561
-6.969 9.098 0.860
Nd Er Zn
1 6 2
direct
0.000 0.000 0.000
0.313 0.787 0.587
0.309 0.508 0.874
0.691 0.492 0.126
0.979 0.708 0.334
0.687 0.213 0.413
0.021 0.292 0.666
0.347 0.090 0.215
0.653 0.910 0.785
```

Computed properties:
Its symmetry is C2/m (12). As for the total DFT energy (no corrections): -3.9939 eV/atom. For the formation energy, the calculation gives -0.14 eV per atom. The crystal system is monoclinic.

=====

Entry from Alexandria: a geometry-optimized Mg3ZrBi structure (GGA-PBE).

Geometry as POSCAR:
```
Mg3ZrBi
1.0
5.375 0.000 0.000
0.000 5.375 0.000
0.000 0.000 5.375
Mg Bi Zr
3 1 1
direct
0.000 0.500 0.000
0.500 0.000 0.000
0.000 0.000 0.500
0.000 0.000 0.000
0.500 0.500 0.500
```

Computed properties:
Its symmetry is Pm-3m (221). As for the total DFT energy (no corrections): -2.5912 eV/atom. For the formation energy, the calculation gives 0.85 eV per atom. The crystal system is cubic. As for the energy above the most stable polymorph in this dataset: 0.00 eV per formula unit.

=====

Entry from Alexandria: a geometry-optimized CrTcHg2 structure (GGA-PBE).

Geometry as POSCAR:
```
CrTcHg2
1.0
-1.156 -1.829 -1.987
2.442 0.222 -1.617
3.277 -6.483 4.059
Tc Cr Hg
1 1 2
direct
0.500 0.500 0.250
0.500 0.500 0.750
0.000 0.000 0.503
0.000 0.000 0.997
```

Computed properties:
Its symmetry is P4/mmm (123). As for the total DFT energy (no corrections): -4.4616 eV/atom. For the formation energy, the calculation gives 0.69 eV per atom. The crystal system is tetragonal. As for the energy above the most stable polymorph in this dataset: 1.44 eV per formula unit.